(1)
VASP calculation (PBEsol) on a geometry-optimized Tl2TeRh structure.

Output
E above lowest polymorph (meV per atom): 300
Magnetization (μB/f.u.): 0.0
Calculated volume (Å³/f.u.): 89.8
Formation energy without anion corrections (eV per formula unit): 1.02

Geometry as POSCAR:
```
Tl2TeRh
1.0
-2.508 2.508 3.568
2.508 -2.508 3.568
2.508 2.508 -3.568
Tl Te Rh
2 1 1
Cartesian
0.000 0.000 0.000
0.000 2.508 1.784
2.508 0.000 1.784
0.000 0.000 3.568
```


(2)
VASP calculation (PBEsol) on a geometry-optimized Tl2TeRh structure.

Output
E above lowest polymorph (meV per atom): 247
Magnetization (μB/f.u.): 0.0
Calculated volume (Å³/f.u.): 93.3
Formation energy without anion corrections (eV per formula unit): 0.81

Geometry as POSCAR:
```
Tl2TeRh
1.0
1.705 0.984 9.271
-1.705 0.984 9.271
0.000 -1.968 9.271
Tl Te Rh
2 1 1
Cartesian
0.000 0.000 6.538
0.000 0.000 21.274
0.000 0.000 0.000
0.000 0.000 13.906
```


(3)
VASP calculation (PBEsol) on a geometry-optimized TlTe2Rh structure.

Output
Magnetization (μB/f.u.): 0.0
Calculated volume (Å³/f.u.): 102.1
Formation energy without anion corrections (eV per formula unit): -1.20

Geometry as POSCAR:
```
TlTe2Rh
1.0
2.014 1.163 7.270
-2.014 1.163 7.270
0.000 -2.325 7.270
Tl Te Rh
1 2 1
Cartesian
0.000 0.000 0.000
0.000 0.000 4.935
0.000 0.000 16.875
0.000 0.000 10.905
```


(4)
VASP calculation (PBEsol) on a geometry-optimized TlTe2Rh structure.

Output
Magnetization (μB/f.u.): 0.0
Calculated volume (Å³/f.u.): 101.7
Formation energy without anion corrections (eV per formula unit): -1.01

Geometry as POSCAR:
```
TlTe2Rh
1.0
5.281 0.000 0.000
0.000 3.943 0.000
-2.512 0.000 4.883
Tl Te Rh
1 2 1
Cartesian
0.000 0.000 0.000
-0.084 1.972 3.322
2.854 1.972 1.561
1.385 0.000 2.441
```


(5)
VASP calculation (PBEsol) on a geometry-optimized TlTeRh3 structure.

Output
Magnetization (μB/f.u.): 1.7
Calculated volume (Å³/f.u.): 115.7
Formation energy without anion corrections (eV per formula unit): 7.60

Geometry as POSCAR:
```
TlTeRh3
1.0
4.873 0.000 0.000
0.000 4.873 0.000
0.000 0.000 4.873
Tl Te Rh
1 1 3
Cartesian
0.000 0.000 0.000
2.437 2.437 2.437
0.000 0.000 2.437
0.000 2.437 0.000
2.437 0.000 0.000
```


(6)
VASP calculation (PBEsol) on a geometry-optimized TlTe2Rh structure.

Output
Magnetization (μB/f.u.): 0.0
Calculated volume (Å³/f.u.): 90.4
Formation energy without anion corrections (eV per formula unit): 1.79

Geometry as POSCAR:
```
TlTe2Rh
1.0
0.000 3.562 3.562
3.562 0.000 3.562
3.562 3.562 0.000
Tl Te Rh
1 2 1
Cartesian
0.000 0.000 0.000
1.781 1.781 1.781
3.562 3.562 3.562
5.342 5.342 5.342
```


(7)
VASP calculation (PBEsol) on a geometry-optimized Tl2TeRh structure.

Output
E above lowest polymorph (meV per atom): 99
Magnetization (μB/f.u.): 0.0
Calculated volume (Å³/f.u.): 110.9
Formation energy without anion corrections (eV per formula unit): 0.21

Geometry as POSCAR:
```
Tl2TeRh
1.0
2.488 -5.470 0.000
2.488 5.470 0.000
0.000 0.000 4.074
Tl Te Rh
2 1 1
Cartesian
2.488 3.623 0.000
2.488 -3.623 0.000
2.488 0.000 2.037
0.000 0.000 2.037
```


(8)
VASP calculation (PBEsol) on a geometry-optimized TlTe2Rh structure.

Output
Magnetization (μB/f.u.): 0.0
Calculated volume (Å³/f.u.): 101.8
Formation energy without anion corrections (eV per formula unit): -0.51

Geometry as POSCAR:
```
TlTe2Rh
1.0
-1.581 1.755 9.172
1.581 -1.755 9.172
1.581 1.755 -9.172
Tl Te Rh
1 2 1
Cartesian
0.000 0.000 0.000
1.581 0.000 3.211
0.000 0.000 6.542
0.000 1.755 4.501
```


(9)
VASP calculation (PBEsol) on a geometry-optimized Te3RhW structure.

Output
Magnetization (μB/f.u.): 2.4
Calculated volume (Å³/f.u.): 128.1
Formation energy without anion corrections (eV per formula unit): 6.29

Geometry as POSCAR:
```
Te3RhW
1.0
5.041 0.000 0.000
0.000 5.041 0.000
0.000 0.000 5.041
Te Rh W
3 1 1
Cartesian
0.000 0.000 2.521
0.000 2.521 0.000
2.521 0.000 0.000
0.000 0.000 0.000
2.521 2.521 2.521
```


(10)
VASP calculation (PBEsol) on a geometry-optimized TeRh2W structure.

Output
Magnetization (μB/f.u.): 0.0
Calculated volume (Å³/f.u.): 62.9
Formation energy without anion corrections (eV per formula unit): 1.09

Geometry as POSCAR:
```
TeRh2W
1.0
3.245 0.000 0.000
0.000 4.325 0.000
0.000 0.000 4.485
Te Rh W
1 2 1
Cartesian
0.000 0.000 0.000
0.000 2.162 2.242
1.623 2.162 0.000
1.623 0.000 2.242
```


(11)
VASP calculation (PBEsol) on a geometry-optimized TeRh2W structure.

Output
Magnetization (μB/f.u.): 0.0
Calculated volume (Å³/f.u.): 63.8
Formation energy without anion corrections (eV per formula unit): 0.40

Geometry as POSCAR:
```
TeRh2W
1.0
2.981 0.000 0.000
0.000 3.815 0.000
0.000 0.000 5.612
Te Rh W
1 2 1
Cartesian
0.000 0.000 0.000
1.490 1.907 1.507
1.490 1.907 4.105
0.000 0.000 2.806
```


(12)
VASP calculation (PBEsol) on a geometry-optimized YTe4Rh structure.

Output
Magnetization (μB/f.u.): 0.0
Calculated volume (Å³/f.u.): 157.6
Formation energy without anion corrections (eV per formula unit): 2.80

Geometry as POSCAR:
```
YTe4Rh
1.0
0.000 4.288 4.288
4.288 0.000 4.288
4.288 4.288 0.000
Y Te Rh
1 4 1
Cartesian
0.000 0.000 0.000
5.353 3.223 3.223
3.223 5.353 3.223
3.223 3.223 5.353
5.353 5.353 5.353
2.144 2.144 2.144
```


(13)
VASP calculation (PBEsol) on a geometry-optimized Y2TeRh structure.

Output
Magnetization (μB/f.u.): 0.0
Calculated volume (Å³/f.u.): 90.5
Formation energy without anion corrections (eV per formula unit): -3.23

Geometry as POSCAR:
```
Y2TeRh
1.0
5.007 0.000 0.000
0.000 5.007 0.000
0.000 0.000 3.609
Y Te Rh
2 1 1
Cartesian
0.000 2.503 0.000
2.503 0.000 0.000
0.000 0.000 1.805
2.503 2.503 1.805
```


(14)
VASP calculation (PBEsol) on a geometry-optimized Y2TeRh structure.

Output
Magnetization (μB/f.u.): 0.0
Calculated volume (Å³/f.u.): 101.3
Formation energy without anion corrections (eV per formula unit): -3.99

Geometry as POSCAR:
```
Y2TeRh
1.0
2.020 1.166 7.169
-2.020 1.166 7.169
0.000 -2.332 7.169
Y Te Rh
2 1 1
Cartesian
0.000 0.000 5.091
0.000 0.000 16.415
0.000 0.000 0.000
0.000 0.000 10.753
```